Record 1
# La4TlPb

Crystalline La4TlPb at its relaxed geometry (PBE, Alexandria via LeMat-Bulk).

## Properties
Theoretical density ... 8.23 Mg/m³
Distance to the lowest polymorph of the same formula ... 81 meV/atom

a = 8.799 Å, b = 5.664 Å, c = 7.897 Å
α = 90.00°, β = 97.21°, γ = 90.00°
Space group C2/m (No. 12)
Asymmetric unit:
La1 0.170 0.000 0.157 [4 per cell]
La2 0.171 0.000 0.654 [4 per cell]
Tl1 0.000 0.500 0.500 [2 per cell]
Pb1 0.000 0.500 0.000 [2 per cell]

=====

Record 2
# La2Tl5Pb

Crystalline La2Tl5Pb at its relaxed geometry (PBE, Alexandria via LeMat-Bulk).

## Properties
Theoretical density ... 10.62 Mg/m³
Total energy ... -3.548 eV/atom

a = 7.037 Å, b = 13.908 Å, c = 4.816 Å
α = 90.00°, β = 90.00°, γ = 90.00°
Space group Pbam (No. 55)
Asymmetric unit:
La1 0.243 0.123 0.000 [4 per cell]
Tl1 0.000 0.500 0.500 [2 per cell]
Tl2 0.010 0.750 0.500 [4 per cell]
Tl3 0.241 0.372 0.000 [4 per cell]
Pb1 0.000 0.000 0.500 [2 per cell]

=====

Record 3
# La4TlPb

Crystalline La4TlPb at its relaxed geometry (PBE, Alexandria via LeMat-Bulk).

## Properties
Theoretical density ... 8.38 Mg/m³
Distance to the lowest polymorph of the same formula ... 0 meV/atom

a = 4.225 Å, b = 5.975 Å, c = 8.635 Å
α = 71.87°, β = 75.88°, γ = 69.43°
Space group P-1 (No. 2)
Asymmetric unit:
La1 0.155 0.019 0.172 [2 per cell]
La2 0.157 0.515 0.672 [2 per cell]
Tl1 0.500 0.000 0.500 [1 per cell]
Pb1 0.500 0.500 0.000 [1 per cell]

=====

Record 4
# La2TlPb

Crystalline La2TlPb at its relaxed geometry (PBE, Alexandria via LeMat-Bulk).

## Properties
Theoretical density ... 8.57 Mg/m³
Total energy ... -4.140 eV/atom

a = 3.985 Å, b = 3.985 Å, c = 8.413 Å
α = 90.00°, β = 90.00°, γ = 90.00°
Space group P4mm (No. 99)
Asymmetric unit:
La1 0.000 0.000 0.000 [1 per cell]
La2 0.500 0.500 0.302 [1 per cell]
Tl1 0.500 0.500 0.764 [1 per cell]
Pb1 0.000 0.000 0.554 [1 per cell]